20
Lattice="9.553 0.000 0.000 0.000 9.870 0.000 -6.199 0.000 9.195" Properties=species:S:1:pos:R:3 comment="SrAc3Pb PBE optimized geometry" delta_e_f_ev_per_atom=-0.14 magmom_total_mub_per_fu=0.0 pbc="T T T"
Sr -0.777 0.632 4.004
Sr -3.877 4.303 8.602
Sr 7.231 5.567 0.594
Sr 4.132 9.238 5.191
Ac -2.309 6.791 4.896
Ac 0.790 8.014 0.298
Ac -2.620 0.588 7.636
Ac 0.480 4.347 3.038
Ac 2.509 1.107 2.171
Ac -0.590 3.828 6.769
Ac 3.944 6.042 2.427
Ac 0.845 8.763 7.024
Ac 2.875 5.523 6.157
Ac 5.974 9.282 1.559
Ac 2.564 1.856 8.897
Ac 5.664 3.079 4.299
Pb -1.903 7.109 8.356
Pb 1.197 7.696 3.758
Pb 2.157 2.174 5.437
Pb 5.257 2.761 0.839